PBE TbAg2PbSe4, optimized geometry; M_tot = 0.000 μB/f.u.; Fermi-level density of states = 3.7 states/eV per cell; formation energy without anion corrections = -5.6 eV/f.u.
1.0
6.904 0.000 0.000
0.000 4.187 0.000
-2.482 0.000 6.841
Tb Ag Pb Se
1 2 1 4
Direct
0.000 0.000 0.000
0.500 0.000 0.500
0.500 0.500 0.000
0.000 0.500 0.500
0.255 0.500 0.242
0.265 0.000 0.762
0.735 0.000 0.238
0.745 0.500 0.758